First-principles (PBE-GGA) data for a relaxed structure of LaTa2AsAu, as listed in Alexandria via LeMat-Bulk.

It has space group P4/mmm (No. 123), with a = 5.0327 Å, b = 5.0327 Å, c = 5.2520 Å, α = 90.00°, β = 90.00° and γ = 90.00°. The distinct sites, in fractional coordinates, are La at (0.0000, 0.0000, 0.0000), Ta at (0.0000, 0.5000, 0.5000), As at (0.5000, 0.5000, 0.0000) and Au at (0.5000, 0.5000, 0.5000).

The density of states at the Fermi level comes out at 6.79 states/eV/f.u. As for the energy of formation from the pure elements: 1052 meV/atom.

=====

First-principles (PBE-GGA) data for a relaxed structure of CsSCl2F, as listed in Alexandria via LeMat-Bulk.

It has space group P4/mmm (No. 123), with a = 6.1417 Å, b = 6.1417 Å, c = 3.7565 Å, α = 90.00°, β = 90.00° and γ = 90.00°. The distinct sites, in fractional coordinates, are Cs at (0.0000, 0.0000, 0.0000), S at (0.5000, 0.5000, 0.0000), Cl at (0.0000, 0.5000, 0.5000) and F at (0.5000, 0.5000, 0.5000).

The density of states at the Fermi level comes out at 3.92 states/eV/f.u. For the energy relative to the elements, uncorrected, the calculation gives -0.555 eV/atom.